Material: Li3Mn2SbO6
Method: DFT, GGA+U
State: optimized geometry

## Properties
**Electronic total energy**: -6.240 eV per atom
**Total moment**: 10.0 μB/f.u.
**N(E_F)**: 0.15 states/eV/cell

Lattice parameters (Å, degrees): 6.8360 6.8360 6.3480 78.25 78.25 26.50
With the nearest neighbours (Å) after each atom.
Atoms (fractional coordinates):
Li 0.5000 0.5000 0.5000  2 O 2.08
Li 0.8363 0.8363 0.8011  3 O 2.10-2.11
Li 0.1637 0.1637 0.1989  3 O 2.10-2.11
Mn 0.8259 0.8259 0.3482  6 O 2.16-2.35
Mn 0.1741 0.1741 0.6518  6 O 2.16-2.35
Sb 0.5000 0.5000 0.0000  6 O 1.96-2.09
O 0.3497 0.3497 0.0806  1 Sb 1.96
O 0.6600 0.6600 0.4221  3 Li 2.08-2.11, 3 Mn 2.16-2.18
O 0.6503 0.6503 0.9194  1 Sb 1.96
O 0.9959 0.9959 0.7851  2 Sb 2.09, 1 Li 2.10
O 0.0041 0.0041 0.2149  2 Sb 2.09, 1 Li 2.10
O 0.3400 0.3400 0.5779  3 Li 2.08-2.11, 3 Mn 2.16-2.18